# NaCoGe2O6 (PBE+U, optimized geometry)
# VASP energy = -5.945 eV per atom
# volume = 470.61 Å³/cell
data_NaCoGe2O6
_cell_length_a 9.724
_cell_length_b 9.625
_cell_length_c 5.099
_cell_angle_alpha 90.00
_cell_angle_beta 99.53
_cell_angle_gamma 90.00
_symmetry_space_group_name_H-M 'C 1 2/c 1'
_symmetry_Int_Tables_number 15
loop_
_symmetry_equiv_pos_as_xyz
'x,y,z'
'-x,-y,-z'
'-x,y,-z+1/2'
'x,-y,z+1/2'
'x+1/2,y+1/2,z'
'-x+1/2,-y+1/2,-z'
'-x+1/2,y+1/2,-z+1/2'
'x+1/2,-y+1/2,z+1/2'
loop_
_atom_site_label
_atom_site_fract_x
_atom_site_fract_y
_atom_site_fract_z
Na1 0.000 0.079 0.250
Co1 0.000 0.277 0.750
Ge1 0.194 0.403 0.271
O1 0.104 0.268 0.086
O2 0.127 0.118 0.655
O3 0.139 0.433 0.597